Record 1
Below is a relaxed structure of BaLiCa2Tl, with properties calculated at the PBE level.

Output
Energy of formation: -0.043 eV per atom
Crystal system: tetragonal

Cell lengths 5.7755, 5.7755, 5.2984 Å; angles 90.00, 90.00, 90.00 degrees
Last column: nearest neighbours and their distance in Å.
Space group P4/mmm (No. 123)
One atom of each set of equivalent atoms:
Ba 0.0000 0.0000 0.0000 x1  8 Ca 3.92, 4 Tl 4.08
Li 0.5000 0.5000 0.5000 x1  2 Tl 2.65, 4 Ca 2.89
Ca 0.0000 0.5000 0.5000 x2  2 Li 2.89
Tl 0.5000 0.5000 0.0000 x1  2 Li 2.65

---

Record 2
Below is a relaxed structure of Ga2Cu4Si, with properties calculated at the PBE level.

Output
Crystal system: tetragonal
Formation energy (no corrections): 2.42 eV/f.u.

Cell lengths 4.4963, 4.4963, 12.1936 Å; angles 90.00, 90.00, 90.00 degrees
Last column: nearest neighbours and their distance in Å.
Space group I4/mmm (No. 139)
One atom of each set of equivalent atoms:
Ga 0.0000 0.0000 0.1203 x4  1 Cu 2.36
Cu 0.0000 0.0000 0.3139 x4  1 Si 2.27, 1 Ga 2.36
Cu 0.0000 0.5000 0.0000 x4  2 Si 2.25
Si 0.0000 0.0000 0.5000 x2  6 Cu 2.25-2.27

---

Record 3
Below is a relaxed structure of PdAu3I8, with properties calculated at the PBE level.

Output
Crystal system: monoclinic
Formation energy (no corrections): -0.96 eV/f.u.

Cell lengths 18.0125, 7.9831, 7.5462 Å; angles 90.00, 113.38, 90.00 degrees
Last column: nearest neighbours and their distance in Å.
Space group C2/m (No. 12)
One atom of each set of equivalent atoms:
Pd 0.0000 0.0000 0.0000 x2  4 I 2.62
Au 0.0000 0.5000 0.0000 x2  4 I 2.78
Au 0.2500 0.2500 0.5000 x4  4 I 2.75-2.76
I 0.0001 0.2369 0.2411 x8  1 Pd 2.62, 1 Au 2.78
I 0.2438 0.5000 0.7454 x4  2 Au 2.75
I 0.2498 0.0000 0.7519 x4  2 Au 2.76

---

Record 4
Below is a relaxed structure of Zn3HOs, with properties calculated at the PBE level.

Output
E above lowest polymorph: 0.0000 eV per atom
Crystal system: cubic

Cell lengths 3.8877, 3.8877, 3.8877 Å; angles 90.00, 90.00, 90.00 degrees
Last column: nearest neighbours and their distance in Å.
Space group Pm-3m (No. 221)
One atom of each set of equivalent atoms:
Zn 0.0000 0.0000 0.5000 x3  2 H 1.94
H 0.0000 0.0000 0.0000 x1  6 Zn 1.94
Os 0.5000 0.5000 0.5000 x1  12 Zn 2.75

---

Record 5
Below is a relaxed structure of HPdO2F, with properties calculated at the PBE level.

Output
Crystal system: tetragonal
Energy: -3.68 eV/atom

Cell lengths 3.8827, 3.8827, 4.2849 Å; angles 90.00, 90.00, 90.00 degrees
Last column: nearest neighbours and their distance in Å.
Space group P4/mmm (No. 123)
One atom of each set of equivalent atoms:
H 0.0000 0.0000 0.0000 x1  4 F 2.75, 8 O 2.89
Pd 0.5000 0.5000 0.5000 x1  4 O 1.94, 2 F 2.14
O 0.0000 0.5000 0.5000 x2  2 Pd 1.94
F 0.5000 0.5000 0.0000 x1  2 Pd 2.14

---

Record 6
Below is a relaxed structure of ScFe2Rh, with properties calculated at the PBE level.

Output
Energy of formation: -0.111 eV per atom
Crystal system: monoclinic

Cell lengths 2.7988, 4.3146, 4.9936 Å; angles 90.00, 103.99, 90.00 degrees
Last column: nearest neighbours and their distance in Å.
Space group P2/m (No. 10)
One atom of each set of equivalent atoms:
Sc 0.0000 0.0000 0.0000 x1  2 Rh 2.55, 4 Fe 2.72, 2 Sc 2.80
Fe 0.2776 0.5000 0.7419 x2  4 Fe 2.54-2.80, 2 Rh 2.62, 2 Sc 2.72
Rh 0.5000 0.0000 0.5000 x1  2 Sc 2.55, 4 Fe 2.62, 2 Rh 2.80